FeSi2Cl | PBE-GGA | optimized geometry

Cell and atoms, written as POSCAR:
```
FeSi2Cl
1.0
-0.614 -1.033 -2.498
-1.639 -3.943 2.034
-4.277 1.912 0.261
Cl Fe Si
1 1 2
direct
0.500 0.000 0.500
0.000 0.500 0.500
0.000 0.000 0.000
0.500 0.500 0.000
```

Values from the calculation:
- D(E_F): 0.68 states/eV per atom
- SG: Pmmm
- E above lowest polymorph: 431 meV/atom

MnTcTe | PBE-GGA | optimized geometry

Cell and atoms, written as POSCAR:
```
MnTcTe
1.0
-1.543 -1.439 3.524
-1.113 -3.943 0.296
6.825 -3.778 3.838
Mn Te Tc
2 2 2
direct
0.546 0.546 0.361
0.454 0.454 0.639
0.264 0.264 0.207
0.736 0.736 0.793
0.856 0.856 0.433
0.144 0.144 0.567
```

Values from the calculation:
- D(E_F): 0.75 states/eV per atom
- SG: R-3m
- E above lowest polymorph: 0 meV/atom

CaCePr2As4 | PBE-GGA | optimized geometry

Cell and atoms, written as POSCAR:
```
CaCePr2As4
1.0
-2.795 -2.473 -2.102
4.536 -5.755 0.740
-4.573 0.246 5.792
Ca Ce Pr As
1 1 2 4
direct
0.500 0.500 0.000
0.000 0.000 0.000
0.500 0.000 0.500
0.000 0.500 0.500
0.500 0.242 0.242
0.500 0.758 0.758
0.000 0.244 0.756
0.000 0.756 0.244
```

Values from the calculation:
- D(E_F): 0.19 states/eV per atom
- SG: P2/m
- Energy of formation from the pure elements: -1.38 eV per atom

Fe2Pd2N | PBE-GGA | optimized geometry

Cell and atoms, written as POSCAR:
```
Fe2Pd2N
1.0
-2.825 0.327 -4.809
-1.543 -5.342 0.544
-3.592 1.261 2.195
Fe Pd N
4 4 2
direct
0.148 0.648 0.500
0.648 0.852 0.500
0.852 0.352 0.500
0.352 0.148 0.500
0.323 0.823 0.000
0.823 0.677 0.000
0.677 0.177 0.000
0.177 0.323 0.000
0.000 0.000 0.000
0.500 0.500 0.000
```

Values from the calculation:
- D(E_F): 0.72 states/eV per atom
- SG: P4/mbm
- E above lowest polymorph: 0 meV/atom